A geometry-optimized Ca2NiWO6 structure. Source: Alexandria, functional GGA+U.

Properties
DFT total energy   -65.17 eV/cell
D(E_F)   0.00 states/eV/f.u.
V   127.1 Å³/f.u.
Space-group type   P4mm

Cell lengths 5.5638, 5.5638, 4.1054 Å; angles 90.00, 90.00, 90.00 degrees
Fractional coordinates of all 10 atoms:
Ca: 0.0000 0.5000 0.0000
Ca: 0.5000 0.0000 0.0000
Ni: 0.0000 0.0000 0.5979
W: 0.5000 0.5000 0.5620
O: 0.0000 0.0000 0.1049
O: 0.2612 0.2612 0.6294
O: 0.2612 0.7388 0.6294
O: 0.5000 0.5000 0.1044
O: 0.7388 0.2612 0.6294
O: 0.7388 0.7388 0.6294